[1]
28
Lattice="6.7812 0.0000 0.0000 -2.1448 7.4368 0.0000 -2.1531 -0.8549 7.3981" Properties=species:S:1:pos:R:3 comment="CaLa3Co2O8 | the Alexandria database | GGA+U | optimized geometry" space_group="P1, No. 1" polymorph_energy_mev_per_atom=0 pbc="T T T"
Ca 0.0000 0.0000 0.0000
Ca -2.1067 3.3450 3.7171
La -1.0805 -0.2616 3.6215
La 0.3162 2.0090 6.3736
La 0.3580 6.1540 2.6874
La -0.7103 5.8526 6.3009
La 1.4686 2.5800 2.5985
La 3.5311 3.0520 7.2686
Co 1.9751 4.6045 5.0023
Co 4.1593 1.3217 1.3173
Co 3.0906 0.9019 5.0195
Co 3.1007 5.0453 1.3184
O -2.9094 4.9529 5.7363
O -1.7619 1.7496 5.4346
O -1.7210 5.8033 1.7810
O -0.6535 1.7348 2.2659
O 2.0936 0.9074 0.3482
O 1.0193 4.2927 0.7883
O 1.0400 0.0624 4.5450
O 0.0716 4.2810 4.2457
O 2.2656 2.7134 4.9641
O 3.3912 1.0526 3.0565
O 1.2828 4.3663 6.7652
O 2.3600 6.8807 1.2806
O 3.7327 3.1736 1.3280
O 2.6389 4.8184 3.2325
O 1.6267 6.4745 5.0553
O 2.7052 0.6854 6.9555

---

[2]
28
Lattice="5.4210 0.0000 0.0000 -0.0142 5.4672 0.0000 -0.0047 -0.0105 12.3646" Properties=species:S:1:pos:R:3 comment="CaLa3Co2O8 | the Alexandria database | GGA+U | optimized geometry" space_group="P1, No. 1" polymorph_energy_mev_per_atom=56 pbc="T T T"
Ca 0.0000 0.0000 0.0000
Ca 0.0243 2.8921 6.1874
La 2.5988 2.8539 12.3322
La 2.6346 0.0299 6.1685
La 2.6922 0.1677 2.7018
La 2.7193 2.7973 8.9082
La 5.3234 2.7996 2.7821
La 5.3467 0.1744 8.9446
Co 2.6503 2.8430 4.5327
Co 2.6602 0.0853 10.6832
Co 5.3727 0.1060 4.4926
Co 5.3661 2.8261 10.7035
O 0.0454 5.3768 6.5121
O 0.1068 3.0723 0.4925
O 1.2836 4.2342 4.2348
O 1.3036 4.2129 10.4172
O 1.3315 1.4093 4.4802
O 1.3343 1.4338 10.6571
O 2.4519 3.0622 6.6648
O 2.5119 5.4308 0.3262
O 2.7699 0.2265 8.5901
O 2.7973 2.6325 2.2619
O 3.9819 4.2111 10.6134
O 3.9815 4.2720 4.4102
O 4.0380 1.3952 10.8929
O 4.0615 1.4817 4.7172
O 5.1765 2.5813 8.4537
O 5.2438 0.2766 2.4220

---

[3]
7
Lattice="-1.9079 1.9079 6.1142 1.9079 -1.9079 6.1142 1.9079 1.9079 -6.1142" Properties=species:S:1:pos:R:3 comment="CaLaCoO4 | the Alexandria database | GGA+U | optimized geometry" e_tot_ev_per_atom=-6.954 space_group="I4mm, No. 107" dos_at_fermi_per_ev_cell=0.2 pbc="T T T"
Ca 0.0000 0.0000 0.0000
La 0.0000 0.0000 3.4564
Co 0.0000 0.0000 7.7551
O 1.9079 0.0000 1.7066
O 0.0000 0.0000 5.7381
O 0.0000 1.9079 1.7066
O 0.0000 0.0000 9.8978

---

[4]
14
Lattice="5.4116 0.0000 0.0000 0.0000 5.4398 0.0000 -2.6874 0.0000 6.3286" Properties=species:S:1:pos:R:3 comment="CaLa3Co2O8 | the Alexandria database | GGA+U | optimized geometry" space_group="Pm, No. 6" dos_at_fermi_per_ev_cell=0.2 polymorph_energy_mev_per_atom=13 pbc="T T T"
Ca 0.0000 0.0000 0.0000
La 0.0324 0.0000 3.5391
La 2.6871 2.7199 0.0351
La 2.7522 2.7199 3.5908
Co 0.0265 2.7199 1.7345
Co 2.7371 0.0000 1.7445
O 0.0178 2.7199 4.0597
O 1.3601 1.3894 1.8106
O 1.3601 4.0504 1.8106
O 0.0490 0.0000 5.9007
O 2.7468 0.0000 3.9816
O 4.1013 1.3981 1.7922
O 4.1013 4.0418 1.7922
O 2.7861 2.7199 5.8747